Entry 1:
A plane-wave DFT calculation with PBE+U was carried out for crystalline InMoOF2 at its relaxed geometry.

```
5
Lattice="4.2922 0.0000 0.0000 0.0000 4.2922 0.0000 0.0000 0.0000 4.2498" Properties=species:S:1:pos:R:3 pbc="T T T"
In 0.0000 0.0000 0.0000
Mo 2.1461 2.1461 2.1249
O 2.1461 2.1461 0.0000
F 0.0000 2.1461 2.1249
F 2.1461 0.0000 2.1249
```

Output
Its space group is P4/mmm, No. 123.

---

Entry 2:
A plane-wave DFT calculation with PBE+U was carried out for crystalline InMoOF2 at its relaxed geometry.

```
5
Lattice="4.3847 0.0000 0.0000 0.0000 4.3847 0.0000 0.0000 0.0000 4.1201" Properties=species:S:1:pos:R:3 pbc="T T T"
In 0.0000 0.0000 0.0000
Mo 2.1924 2.1924 2.0600
O 0.0000 0.0000 2.0600
F 0.0000 2.1924 0.0000
F 2.1924 0.0000 0.0000
```

Output
Its space group is P4/mmm, No. 123.

---

Entry 3:
A plane-wave DFT calculation with PBE+U was carried out for crystalline InMoPbF2 at its relaxed geometry.

```
5
Lattice="4.3241 0.0000 0.0000 0.0000 4.3241 0.0000 0.0000 0.0000 6.2303" Properties=species:S:1:pos:R:3 pbc="T T T"
In 0.0000 0.0000 0.0000
Mo 2.1621 2.1621 3.1152
Pb 0.0000 0.0000 3.1152
F 0.0000 2.1621 0.0000
F 2.1621 0.0000 0.0000
```

Output
Its space group is P4/mmm, No. 123.

---

Number 1: electronic total energy -26.95 eV/cell. Number 2: electronic total energy -24.50 eV/cell. Number 3: electronic total energy -20.54 eV/cell.